No. 1
KLa2Rh PBE optimized geometry; volume = 28.298 Å³/atom; total magnetic moment = 0.001 μB per formula unit; symmetry = I-4m2, No. 119; formation enthalpy at 0 K = 26.4 kJ per mole of atoms; D(E_F) = 3.9 states/eV per cell
1.0
6.592 0.000 0.000
3.635 5.500 0.000
-5.113 -2.750 3.122
Rh La K
1 2 1
Direct
0.500 0.500 0.000
0.250 0.750 0.500
0.000 0.000 0.000
0.750 0.250 0.500

---

No. 2
Ag2Pt2Pb PBE optimized geometry; volume = 20.435 Å³/atom; total magnetic moment = 0.000 μB per formula unit; symmetry = I4/mmm, No. 139; formation enthalpy at 0 K = 17.3 kJ per mole of atoms; D(E_F) = 2.3 states/eV per cell
1.0
3.861 0.000 0.000
0.000 3.861 0.000
1.930 1.930 6.854
Ag Pb Pt
2 1 2
Direct
0.397 0.397 0.206
0.603 0.603 0.794
0.000 0.000 0.000
0.250 0.750 0.500
0.750 0.250 0.500

---

No. 3
AlInCl4 PBE optimized geometry; volume = 37.436 Å³/atom; total magnetic moment = 0.000 μB per formula unit; symmetry = C2/m, No. 12; ΔE_f (raw) = -1233.6 meV/atom; D(E_F) = 0.0 states/eV per cell
1.0
5.056 0.000 0.000
-2.528 8.375 0.827
0.000 -1.507 10.459
Cl In Al
8 2 2
Direct
0.397 0.793 0.265
0.023 0.046 0.293
0.830 0.661 0.082
0.809 0.618 0.409
0.191 0.382 0.591
0.603 0.207 0.735
0.170 0.339 0.918
0.977 0.954 0.707
0.774 0.548 0.755
0.226 0.452 0.245
0.897 0.795 0.263
0.103 0.205 0.737

---

No. 4
BaUTe PBE optimized geometry; volume = 36.499 Å³/atom; total magnetic moment = 2.372 μB per formula unit; symmetry = C2/m, No. 12; ΔE_f (raw) = -551.8 meV/atom; D(E_F) = 12.1 states/eV per cell
1.0
-2.363 1.911 2.967
0.369 -3.417 2.495
11.034 5.461 2.216
U Ba Te
2 2 2
Direct
0.500 0.000 0.000
0.000 0.500 0.000
0.334 0.334 0.669
0.666 0.666 0.331
0.098 0.098 0.196
0.902 0.902 0.804

---

No. 5
Th2CuNi PBE optimized geometry; volume = 26.887 Å³/atom; total magnetic moment = 0.000 μB per formula unit; symmetry = R-3m, No. 166; formation enthalpy at 0 K = 39.1 kJ per mole of atoms; D(E_F) = 4.9 states/eV per cell
1.0
3.653 0.000 0.000
1.827 3.164 0.000
1.827 1.055 9.305
Th Cu Ni
2 1 1
Direct
0.898 0.898 0.307
0.102 0.102 0.693
0.000 0.000 0.000
0.500 0.500 0.500

---

No. 6
K3Tl5Sn2 PBE optimized geometry; volume = 35.589 Å³/atom; total magnetic moment = 0.000 μB per formula unit; symmetry = P4/mbm, No. 127; formation enthalpy at 0 K = -10.3 kJ per mole of atoms; D(E_F) = 10.1 states/eV per cell
1.0
-2.646 1.289 -3.739
8.156 -5.122 -7.539
-6.067 -10.600 0.639
K Tl Sn
6 10 4
Direct
0.000 0.834 0.666
0.000 0.000 0.000
0.000 0.334 0.834
0.000 0.666 0.166
0.000 0.166 0.334
0.000 0.500 0.500
0.500 0.210 0.074
0.500 0.426 0.290
0.500 0.926 0.210
0.500 0.790 0.926
0.500 0.574 0.710
0.500 0.500 0.000
0.500 0.710 0.426
0.500 0.000 0.500
0.500 0.290 0.574
0.500 0.074 0.790
0.000 0.868 0.368
0.000 0.632 0.868
0.000 0.368 0.132
0.000 0.132 0.632

---

No. 7
BeCdP PBE optimized geometry; volume = 18.059 Å³/atom; total magnetic moment = 0.000 μB per formula unit; symmetry = P-1, No. 2; formation enthalpy at 0 K = -3.0 kJ per mole of atoms; D(E_F) = 1.3 states/eV per cell
1.0
-1.461 -3.314 0.469
2.136 -1.737 -4.870
3.950 0.548 4.652
Cd Be P
2 2 2
Direct
0.146 0.374 0.271
0.854 0.626 0.729
0.259 0.160 0.600
0.741 0.840 0.400
0.173 0.840 0.216
0.827 0.160 0.784

---

No. 8
MgZrBe2 PBE optimized geometry; volume = 16.659 Å³/atom; total magnetic moment = 0.000 μB per formula unit; symmetry = P1, No. 1; formation enthalpy at 0 K = 10.5 kJ per mole of atoms; D(E_F) = 3.6 states/eV per cell
1.0
3.666 0.024 0.001
-0.006 5.837 1.544
-1.835 -1.854 2.626
Zr Be Mg
1 2 1
Direct
0.714 0.151 0.431
0.960 0.877 0.919
0.293 0.881 0.587
0.533 0.591 0.063

---

No. 9
Mg2GeRh PBE optimized geometry; volume = 16.269 Å³/atom; total magnetic moment = 0.000 μB per formula unit; symmetry = P4/mmm, No. 123; formation enthalpy at 0 K = -32.3 kJ per mole of atoms; D(E_F) = 2.5 states/eV per cell
1.0
3.932 0.000 0.000
0.000 4.068 0.000
0.000 0.000 4.068
Mg Ge Rh
2 1 1
Direct
0.000 0.000 0.500
0.000 0.500 0.000
0.500 0.000 0.000
0.500 0.500 0.500

---

No. 10
CsZrTa2Co PBE optimized geometry; volume = 23.112 Å³/atom; total magnetic moment = 0.000 μB per formula unit; symmetry = P4/mmm, No. 123; formation enthalpy at 0 K = 151.6 kJ per mole of atoms; D(E_F) = 6.3 states/eV per cell
1.0
-1.002 3.754 -2.717
-4.307 -2.307 -1.600
-2.387 1.964 3.594
Zr Ta Cs Co
1 2 1 1
Direct
0.500 0.500 0.500
0.000 0.000 0.500
0.500 0.000 0.000
0.000 0.500 0.000
0.000 0.000 0.000

---

No. 11
KSb2C2 PBE optimized geometry; volume = 23.109 Å³/atom; total magnetic moment = 0.000 μB per formula unit; symmetry = P4/mbm, No. 127; ΔE_f (raw) = 1086.4 meV/atom; D(E_F) = 5.8 states/eV per cell
1.0
-7.322 -4.046 -0.280
3.726 -6.483 -3.761
0.631 -1.346 2.945
C Sb K
4 4 2
Direct
0.557 0.057 0.000
0.943 0.557 0.000
0.057 0.443 0.000
0.443 0.943 0.000
0.341 0.159 0.500
0.159 0.659 0.500
0.659 0.841 0.500
0.841 0.341 0.500
0.500 0.500 0.000
0.000 0.000 0.000

---

No. 12
CeIn8Hg6 PBE optimized geometry; volume = 27.746 Å³/atom; total magnetic moment = 1.049 μB per formula unit; symmetry = R-3m, No. 166; formation enthalpy at 0 K = -2.4 kJ per mole of atoms; D(E_F) = 12.0 states/eV per cell
1.0
8.400 0.000 4.018
3.239 7.750 4.018
1.581 1.053 7.484
Hg In Ce
6 8 1
Direct
0.721 0.175 0.382
0.279 0.825 0.618
0.721 0.721 0.382
0.175 0.721 0.382
0.825 0.279 0.618
0.279 0.279 0.618
0.591 0.591 0.228
0.859 0.859 0.795
0.409 0.409 0.772
0.141 0.141 0.205
0.486 0.859 0.795
0.141 0.514 0.205
0.859 0.486 0.795
0.514 0.141 0.205
0.000 0.000 0.000